Record 1
A geometry-optimized YP2OsS structure. Source: Alexandria, functional PBE.

```
data_YP2OsS
_chemical_formula_sum 'Y1 P2 Os1 S1'
_cell_length_a 4.4720
_cell_length_b 4.4720
_cell_length_c 5.1924
_cell_angle_alpha 90.00
_cell_angle_beta 90.00
_cell_angle_gamma 90.00
_symmetry_space_group_name_H-M 'P 4/m m m'
_symmetry_Int_Tables_number 123
_symmetry_space_group_name_Hall '-P 4 2'
loop_
_atom_site_label
_atom_site_fract_x
_atom_site_fract_y
_atom_site_fract_z
Y1 0.0000 0.0000 0.0000
P1 0.0000 0.5000 0.5000
Os1 0.5000 0.5000 0.5000
S1 0.5000 0.5000 0.0000
```

## Properties
**Density**: 5.97 Mg/m³
**Formation energy without anion corrections**: -0.12 eV/atom
**Energy above the most stable polymorph in this dataset**: 0.000 eV per atom
**Total magnetic moment**: 0.00 μB per formula unit
**Calculated total energy**: -6.649 eV/atom



Record 2
A geometry-optimized ZnPOsS2 structure. Source: Alexandria, functional PBE.

```
data_ZnPOsS2
_chemical_formula_sum 'Zn1 P1 Os1 S2'
_cell_length_a 4.4888
_cell_length_b 4.4888
_cell_length_c 4.4194
_cell_angle_alpha 90.00
_cell_angle_beta 90.00
_cell_angle_gamma 90.00
_symmetry_space_group_name_H-M 'P 4/m m m'
_symmetry_Int_Tables_number 123
_symmetry_space_group_name_Hall '-P 4 2'
loop_
_atom_site_label
_atom_site_fract_x
_atom_site_fract_y
_atom_site_fract_z
Zn1 0.0000 0.0000 0.0000
P1 0.0000 0.0000 0.5000
Os1 0.5000 0.5000 0.5000
S1 0.0000 0.5000 0.0000
```

## Properties
**Density**: 6.54 Mg/m³
**Formation energy without anion corrections**: 1.53 eV/atom
**Energy above the most stable polymorph in this dataset**: 0.882 eV per atom
**Total magnetic moment**: 0.00 μB per formula unit
**Calculated total energy**: -3.706 eV/atom



Record 3
A geometry-optimized ZnPOsS2 structure. Source: Alexandria, functional PBE.

```
data_ZnPOsS2
_chemical_formula_sum 'Zn1 P1 Os1 S2'
_cell_length_a 4.7767
_cell_length_b 4.7767
_cell_length_c 4.4707
_cell_angle_alpha 90.00
_cell_angle_beta 90.00
_cell_angle_gamma 90.00
_symmetry_space_group_name_H-M 'P 4/m m m'
_symmetry_Int_Tables_number 123
_symmetry_space_group_name_Hall '-P 4 2'
loop_
_atom_site_label
_atom_site_fract_x
_atom_site_fract_y
_atom_site_fract_z
Zn1 0.0000 0.0000 0.0000
P1 0.5000 0.5000 0.0000
Os1 0.5000 0.5000 0.5000
S1 0.0000 0.5000 0.5000
```

## Properties
**Density**: 5.71 Mg/m³
**Formation energy without anion corrections**: 0.65 eV/atom
**Energy above the most stable polymorph in this dataset**: 0.000 eV per atom
**Total magnetic moment**: 0.00 μB per formula unit
**Calculated total energy**: -4.588 eV/atom



Record 4
A geometry-optimized ZrPOsS2 structure. Source: Alexandria, functional PBE.

```
data_ZrPOsS2
_chemical_formula_sum 'Zr1 P1 Os1 S2'
_cell_length_a 4.8482
_cell_length_b 4.8482
_cell_length_c 5.2014
_cell_angle_alpha 90.00
_cell_angle_beta 90.00
_cell_angle_gamma 90.00
_symmetry_space_group_name_H-M 'P 4/m m m'
_symmetry_Int_Tables_number 123
_symmetry_space_group_name_Hall '-P 4 2'
loop_
_atom_site_label
_atom_site_fract_x
_atom_site_fract_y
_atom_site_fract_z
Zr1 0.0000 0.0000 0.0000
P1 0.0000 0.0000 0.5000
Os1 0.5000 0.5000 0.5000
S1 0.0000 0.5000 0.0000
```

## Properties
**Density**: 5.11 Mg/m³
**Formation energy without anion corrections**: 0.97 eV/atom
**Energy above the most stable polymorph in this dataset**: 0.631 eV per atom
**Total magnetic moment**: 4.10 μB per formula unit
**Calculated total energy**: -5.716 eV/atom



Record 5
A geometry-optimized ZrP2OsS structure. Source: Alexandria, functional PBE.

```
data_ZrP2OsS
_chemical_formula_sum 'Zr1 P2 Os1 S1'
_cell_length_a 4.4628
_cell_length_b 4.4628
_cell_length_c 4.9643
_cell_angle_alpha 90.00
_cell_angle_beta 90.00
_cell_angle_gamma 90.00
_symmetry_space_group_name_H-M 'P 4/m m m'
_symmetry_Int_Tables_number 123
_symmetry_space_group_name_Hall '-P 4 2'
loop_
_atom_site_label
_atom_site_fract_x
_atom_site_fract_y
_atom_site_fract_z
Zr1 0.0000 0.0000 0.0000
P1 0.0000 0.5000 0.5000
Os1 0.5000 0.5000 0.5000
S1 0.5000 0.5000 0.0000
```

## Properties
**Density**: 6.31 Mg/m³
**Formation energy without anion corrections**: 0.41 eV/atom
**Energy above the most stable polymorph in this dataset**: 0.000 eV per atom
**Total magnetic moment**: 0.51 μB per formula unit
**Calculated total energy**: -6.540 eV/atom



Record 6
A geometry-optimized ZrPOsS2 structure. Source: Alexandria, functional PBE.

```
data_ZrPOsS2
_chemical_formula_sum 'Zr1 P1 Os1 S2'
_cell_length_a 4.7086
_cell_length_b 4.7086
_cell_length_c 4.4188
_cell_angle_alpha 90.00
_cell_angle_beta 90.00
_cell_angle_gamma 90.00
_symmetry_space_group_name_H-M 'P 4/m m m'
_symmetry_Int_Tables_number 123
_symmetry_space_group_name_Hall '-P 4 2'
loop_
_atom_site_label
_atom_site_fract_x
_atom_site_fract_y
_atom_site_fract_z
Zr1 0.0000 0.0000 0.0000
P1 0.5000 0.5000 0.0000
Os1 0.5000 0.5000 0.5000
S1 0.0000 0.5000 0.5000
```

## Properties
**Density**: 6.38 Mg/m³
**Formation energy without anion corrections**: 0.34 eV/atom
**Energy above the most stable polymorph in this dataset**: 0.000 eV per atom
**Total magnetic moment**: 0.00 μB per formula unit
**Calculated total energy**: -6.347 eV/atom



Record 7
A geometry-optimized ZrP2OsS structure. Source: Alexandria, functional PBE.

```
data_ZrP2OsS
_chemical_formula_sum 'Zr1 P2 Os1 S1'
_cell_length_a 5.0356
_cell_length_b 5.0356
_cell_length_c 4.7743
_cell_angle_alpha 90.00
_cell_angle_beta 90.00
_cell_angle_gamma 90.00
_symmetry_space_group_name_H-M 'P 4/m m m'
_symmetry_Int_Tables_number 123
_symmetry_space_group_name_Hall '-P 4 2'
loop_
_atom_site_label
_atom_site_fract_x
_atom_site_fract_y
_atom_site_fract_z
Zr1 0.0000 0.0000 0.0000
P1 0.0000 0.5000 0.0000
Os1 0.5000 0.5000 0.5000
S1 0.0000 0.0000 0.5000
```

## Properties
**Density**: 5.15 Mg/m³
**Formation energy without anion corrections**: 1.25 eV/atom
**Energy above the most stable polymorph in this dataset**: 0.845 eV per atom
**Total magnetic moment**: 3.02 μB per formula unit
**Calculated total energy**: -5.695 eV/atom



Record 8
A geometry-optimized Sb12POs4 structure. Source: Alexandria, functional PBE.

```
data_Sb12POs4
_chemical_formula_sum 'Sb24 P2 Os8'
_cell_length_a 9.4845
_cell_length_b 9.4845
_cell_length_c 9.4845
_cell_angle_alpha 90.00
_cell_angle_beta 90.00
_cell_angle_gamma 90.00
_symmetry_space_group_name_H-M 'I m -3'
_symmetry_Int_Tables_number 204
_symmetry_space_group_name_Hall '-I 2 2 3'
loop_
_atom_site_label
_atom_site_fract_x
_atom_site_fract_y
_atom_site_fract_z
Sb1 0.0000 0.3181 0.1514
P1 0.0000 0.0000 0.0000
Os1 0.2500 0.2500 0.2500
```

## Properties
**Density**: 8.77 Mg/m³
**Formation energy without anion corrections**: 0.15 eV/atom
**Total magnetic moment**: 0.00 μB per formula unit
**Calculated total energy**: -5.723 eV/atom



Record 9
A geometry-optimized SbPOs3 structure. Source: Alexandria, functional PBE.

```
data_SbPOs3
_chemical_formula_sum 'Sb1 P1 Os3'
_cell_length_a 4.4433
_cell_length_b 4.4433
_cell_length_c 4.4433
_cell_angle_alpha 90.00
_cell_angle_beta 90.00
_cell_angle_gamma 90.00
_symmetry_space_group_name_H-M 'P m -3 m'
_symmetry_Int_Tables_number 221
_symmetry_space_group_name_Hall '-P 4 2 3'
loop_
_atom_site_label
_atom_site_fract_x
_atom_site_fract_y
_atom_site_fract_z
Sb1 0.0000 0.0000 0.0000
P1 0.5000 0.5000 0.5000
Os1 0.0000 0.5000 0.5000
```

## Properties
**Density**: 13.69 Mg/m³
**Formation energy without anion corrections**: 0.94 eV/atom
**Energy above the most stable polymorph in this dataset**: 0.000 eV per atom
**Total magnetic moment**: 0.00 μB per formula unit
**Calculated total energy**: -7.701 eV/atom



Record 10
A geometry-optimized SbPOs4 structure. Source: Alexandria, functional PBE.

```
data_SbPOs4
_chemical_formula_sum 'Sb4 P4 Os16'
_cell_length_a 7.4348
_cell_length_b 7.4348
_cell_length_c 7.4348
_cell_angle_alpha 90.00
_cell_angle_beta 90.00
_cell_angle_gamma 90.00
_symmetry_space_group_name_H-M 'F -4 3 m'
_symmetry_Int_Tables_number 216
_symmetry_space_group_name_Hall 'F -4 2 3'
loop_
_atom_site_label
_atom_site_fract_x
_atom_site_fract_y
_atom_site_fract_z
Sb1 0.0000 0.0000 0.0000
P1 0.2500 0.2500 0.2500
Os1 0.1245 0.1245 0.6245
```

## Properties
**Density**: 14.77 Mg/m³
**Formation energy without anion corrections**: 1.13 eV/atom
**Total magnetic moment**: 0.00 μB per formula unit
**Calculated total energy**: -7.943 eV/atom



Record 11
A geometry-optimized Sb3POs structure. Source: Alexandria, functional PBE.

```
data_Sb3POs
_chemical_formula_sum 'Sb3 P1 Os1'
_cell_length_a 4.9423
_cell_length_b 4.9423
_cell_length_c 4.9423
_cell_angle_alpha 90.00
_cell_angle_beta 90.00
_cell_angle_gamma 90.00
_symmetry_space_group_name_H-M 'P m -3 m'
_symmetry_Int_Tables_number 221
_symmetry_space_group_name_Hall '-P 4 2 3'
loop_
_atom_site_label
_atom_site_fract_x
_atom_site_fract_y
_atom_site_fract_z
Sb1 0.0000 0.0000 0.5000
P1 0.0000 0.0000 0.0000
Os1 0.5000 0.5000 0.5000
```

## Properties
**Density**: 8.07 Mg/m³
**Formation energy without anion corrections**: 1.42 eV/atom
**Energy above the most stable polymorph in this dataset**: 0.555 eV per atom
**Total magnetic moment**: 0.00 μB per formula unit
**Calculated total energy**: -4.384 eV/atom



Record 12
A geometry-optimized SbP3Os structure. Source: Alexandria, functional PBE.

```
data_SbP3Os
_chemical_formula_sum 'Sb1 P3 Os1'
_cell_length_a 4.6403
_cell_length_b 4.6403
_cell_length_c 4.6403
_cell_angle_alpha 90.00
_cell_angle_beta 90.00
_cell_angle_gamma 90.00
_symmetry_space_group_name_H-M 'P m -3 m'
_symmetry_Int_Tables_number 221
_symmetry_space_group_name_Hall '-P 4 2 3'
loop_
_atom_site_label
_atom_site_fract_x
_atom_site_fract_y
_atom_site_fract_z
Sb1 0.0000 0.0000 0.0000
P1 0.0000 0.5000 0.5000
Os1 0.5000 0.5000 0.5000
```

## Properties
**Density**: 6.73 Mg/m³
**Formation energy without anion corrections**: 0.65 eV/atom
**Energy above the most stable polymorph in this dataset**: 0.000 eV per atom
**Total magnetic moment**: 0.00 μB per formula unit
**Calculated total energy**: -5.670 eV/atom